(1)
Material: K2ErTiO4
Method: DFT, PBE
State: relaxed

## Properties
- Size of the total moment: 1.5 Bohr magnetons per cell
- Crystal system: orthorhombic
- Raw formation energy: -19.93 eV per formula unit
- SG: Pmn2_1 (31)
- D(E_F): 4.4 states/eV per cell

Cell: 5.9747 7.3595 7.3408 Å, 90.00 90.00 90.00°
Last column: magnetic moment on the atom in μB.
Element x y z (fractional)
O: 0.3453 0.0895 0.5000  0.00
O: 0.8062 0.9173 0.5000  0.00
O: 0.3062 0.0827 0.0000  0.00
O: 0.8453 0.9105 0.0000  0.00
O: 0.4424 0.7498 0.7146  0.01
O: 0.9424 0.2502 0.7854  0.01
O: 0.9424 0.2502 0.2146  0.01
O: 0.4424 0.7498 0.2854  0.01
Er: 0.4984 0.8402 0.0000  0.15
Er: 0.9984 0.1598 0.5000  0.15
K: 0.9810 0.6583 0.7428  0.02
K: 0.4810 0.3417 0.7572  0.02
K: 0.4810 0.3417 0.2428  0.02
K: 0.9810 0.6583 0.2572  0.02
Ti: 0.5034 0.8717 0.5000  0.06
Ti: 0.0034 0.1283 0.0000  0.06

=====

(2)
Material: Sr4LiTl3O8
Method: DFT, PBE
State: relaxed

## Properties
- Size of the total moment: 0.0 Bohr magnetons per cell
- Crystal system: trigonal
- Raw formation energy: -27.37 eV per formula unit
- SG: R-3m (166)
- D(E_F): 4.8 states/eV per cell

Cell: 7.2769 7.0599 7.2797 Å, 121.01 119.99 90.00°
Element x y z (fractional)
Tl: 0.5000 0.5000 0.0000
Tl: 0.5000 0.5000 0.5000
Tl: 0.0000 0.5000 0.5000
O: 0.2521 0.2550 0.0033
O: 0.7513 0.2549 0.5026
O: 0.7479 0.7450 0.9967
O: 0.7512 0.2550 0.0033
O: 0.2488 0.7450 0.9967
O: 0.2487 0.7451 0.4974
O: 0.7491 0.7472 0.4981
O: 0.2509 0.2528 0.5019
Sr: 0.0000 0.0000 0.0000
Sr: 0.5000 0.0000 0.5000
Sr: 0.5000 0.0000 0.0000
Sr: 0.0000 0.0000 0.5000
Li: 0.0000 0.5000 0.0000

=====

(3)
Material: CaZr2Pb
Method: DFT, PBE
State: relaxed

## Properties
- Size of the total moment: 0.2 Bohr magnetons per cell
- Crystal system: tetragonal
- SG: P4/mmm (123)
- D(E_F): 4.2 states/eV per cell
- Formation enthalpy at 0 K: 13.23 kJ per mole of atoms

Cell: 4.0074 4.0067 6.4354 Å, 90.00 90.00 90.00°
Last column: magnetic moment on the atom in μB.
Element x y z (fractional)
Ca: 0.5000 0.5000 0.2500  0.00
Zr: 0.0000 0.0000 0.9827  0.08
Zr: 0.0000 0.0000 0.5173  0.08
Pb: 0.5000 0.5000 0.7500  0.00

=====

(4)
Material: Sm2DyHf
Method: DFT, PBE
State: relaxed

## Properties
- Size of the total moment: 0.0 Bohr magnetons per cell
- Crystal system: trigonal
- SG: R3m (160)
- D(E_F): 5.7 states/eV per cell
- Formation enthalpy at 0 K: 14.14 kJ per mole of atoms
- Offset from the most stable computed form: 0 meV/atom

Cell: 3.4690 3.4690 11.5087 Å, 81.33 81.33 60.00°
Element x y z (fractional)
Sm: 0.2553 0.2553 0.2340
Sm: 0.0783 0.0783 0.7651
Dy: 0.4995 0.4995 0.5015
Hf: 0.6669 0.6669 0.9994

=====

Q: Number 3 is which compound?
A: CaZr2Pb